The following is a DFT calculation (GGA+U) of a relaxed structure of MnInBrF2.

Unit cell a=4.365 b=4.365 c=5.548 alpha=90.00 beta=90.00 gamma=90.00
Last column: magnetic moment on the atom in μB.
Element x y z (fractional)
F 0.000 0.500 0.000  0.04
F 0.500 0.000 0.000  0.04
Mn 0.000 0.000 0.000  4.68
Br 0.000 0.000 0.500  0.02
In 0.500 0.500 0.500  0.00

Uncorrected energy in eV/atom: -4.832
Fermi-level density of states in states/eV per atom: 0.000
M_tot in μB per atom: 1.000
SG: P4/mmm (123)